[1]
Co2Hg after structural relaxation, computed with PBE-GGA.

The structure in CIF format:
```
data_Co2Hg
_chemical_formula_sum 'Co6 Hg3'
_cell_length_a 7.4167
_cell_length_b 7.4167
_cell_length_c 2.7651
_cell_angle_alpha 90.00
_cell_angle_beta 90.00
_cell_angle_gamma 120.00
_space_group_name_H-M_alt 'P -6 2 m'
_space_group_IT_number 189
_space_group_name_Hall 'P -6 -2'
loop_
_atom_site_label
_atom_site_type_symbol
_atom_site_fract_x
_atom_site_fract_y
_atom_site_fract_z
Co1 Co 0.0000 0.3082 0.0000
Co2 Co 0.0000 0.6423 0.5000
Hg1 Hg 0.0000 0.0000 0.5000
Hg2 Hg 0.3333 0.6667 0.0000
```

Values from the calculation:
D(E_F)	11.755	states/eV/cell
calculated formation energy	0.575	eV per atom

=====

[2]
Sr4Li5In after structural relaxation, computed with PBE-GGA.

The structure in CIF format:
```
data_Sr4Li5In
_chemical_formula_sum 'Sr8 Li10 In2'
_cell_length_a 11.167
_cell_length_b 11.167
_cell_length_c 5.530
_cell_angle_alpha 90.00
_cell_angle_beta 90.00
_cell_angle_gamma 90.00
_space_group_name_H-M_alt 'I 4 m m'
_space_group_IT_number 107
_space_group_name_Hall 'I 4 -2'
loop_
_atom_site_label
_atom_site_type_symbol
_atom_site_fract_x
_atom_site_fract_y
_atom_site_fract_z
Sr1 Sr 0.000 0.288 0.000
Li1 Li 0.000 0.000 0.748
Li2 Li 0.170 0.170 0.483
In1 In 0.000 0.000 0.263
```

Values from the calculation:
D(E_F)	15.927	states/eV/cell
calculated formation energy	-0.072	eV per atom